# 1
Material: Be2AlFe
Method: DFT, PBEsol
State: optimized geometry

```
8
Lattice="3.297 0.000 0.000 0.000 3.297 0.000 0.000 0.000 7.324" Properties=species:S:1:pos:R:3 pbc="T T T"
Be 0.000 0.000 0.000
Be 0.000 1.648 1.831
Be 1.648 0.000 5.493
Be 1.648 1.648 3.662
Al 0.000 1.648 5.493
Al 1.648 0.000 1.831
Fe 0.000 0.000 3.662
Fe 1.648 1.648 0.000
```

- Formation energy from the elements: -4.32 kcal/mol of atoms

***

# 2
Material: In2CuO2
Method: DFT, PBEsol
State: optimized geometry

```
10
Lattice="4.806 0.000 0.000 0.000 4.806 0.000 0.000 0.000 6.746" Properties=species:S:1:pos:R:3 pbc="T T T"
In 0.000 2.403 1.687
In 0.000 2.403 5.060
In 2.403 0.000 1.687
In 2.403 0.000 5.060
Cu 0.000 0.000 0.000
Cu 2.403 2.403 3.373
O 0.000 0.000 1.843
O 0.000 0.000 4.903
O 2.403 2.403 1.530
O 2.403 2.403 5.216
```

- Formation energy without anion corrections: -2.7 eV per formula unit

***

# 3
Material: ZnAuCl
Method: DFT, PBEsol
State: optimized geometry

```
12
Lattice="3.537 0.000 0.000 0.000 5.069 0.000 0.000 0.000 12.264" Properties=species:S:1:pos:R:3 pbc="T T T"
Zn 0.000 0.000 0.000
Zn 0.000 2.535 6.132
Zn 1.769 0.000 6.132
Zn 1.769 2.535 0.000
Au 0.000 0.000 7.918
Au 0.000 2.535 1.786
Au 1.769 0.000 1.786
Au 1.769 2.535 7.918
Cl 0.000 0.000 4.522
Cl 0.000 2.535 10.654
Cl 1.769 0.000 10.654
Cl 1.769 2.535 4.522
```

- Formation energy without anion corrections: -0.5 eV per formula unit

***

# 4
Material: FeCo2Mo
Method: DFT, PBEsol
State: optimized geometry

```
4
Lattice="3.509 0.000 0.000 0.000 3.509 0.000 0.000 0.000 3.594" Properties=species:S:1:pos:R:3 pbc="T T T"
Fe 0.000 0.000 0.000
Co 0.000 1.754 1.797
Co 1.754 0.000 1.797
Mo 1.754 1.754 0.000
```

- Formation energy from the elements: -0.81 kcal/mol of atoms
- Energy above the most stable polymorph in this dataset: 0 meV/atom